The following is a GGA-PBE calculation of a relaxed structure of PmNd4Pt2, from Alexandria.

Unit cell a=6.655 b=8.001 c=8.344 alpha=113.71 beta=90.00 gamma=90.00
Sites, in units of the cell vectors:
Pm  0.250  0.850  0.973
Pm  0.750  0.150  0.027
Nd  0.510  0.411  0.770
Nd  0.250  0.253  0.351
Nd  0.750  0.747  0.649
Nd  0.990  0.411  0.770
Nd  0.750  0.011  0.382
Nd  0.010  0.589  0.230
Nd  0.490  0.589  0.230
Nd  0.250  0.989  0.618
Pt  0.250  0.237  0.993
Pt  0.750  0.763  0.007
Pt  0.750  0.371  0.403
Pt  0.250  0.629  0.597

Computed properties:
ΔH_f (0 K): -0.591 eV/atom
DOS at the Fermi energy: 8.400 states/eV/f.u.
Electronic total energy: -5.720 eV/atom
Density: 9.08 g cm⁻³